1.
# CuRh2

Crystalline CuRh2 at its relaxed geometry (PBE, the Alexandria database).

Unit cell a=4.6134 b=4.6134 c=4.6134 alpha=145.60 beta=131.97 gamma=60.41
Element x y z (fractional)
1 Cu 0.0000 0.0000 0.0000
2 Rh 0.3335 0.3335 0.0000
3 Rh 0.6665 0.6665 0.0000

Properties
The total energy is -6.20 eV per atom. As for the space group: Immm. The calculated density comes out at 10.949 g/cm³. The calculation puts the total magnetization at 0.000 μB/atom.



2.
# YTe3Au

Crystalline YTe3Au at its relaxed geometry (PBE, the Alexandria database).

Unit cell a=5.8068 b=5.8068 c=5.8068 alpha=90.00 beta=90.00 gamma=90.00
Element x y z (fractional)
1 Te 0.0000 0.5000 0.0000
2 Te 0.0000 0.0000 0.5000
3 Te 0.5000 0.0000 0.0000
4 Y 0.0000 0.0000 0.0000
5 Au 0.5000 0.5000 0.5000

Properties
As for the space group: Pm-3m. The calculated density comes out at 5.671 g/cm³. The calculation puts the uncorrected formation energy at 0.1766 eV/atom. The calculation puts the total magnetization at 0.000 μB/atom.



3.
# Al4NiPb

Crystalline Al4NiPb at its relaxed geometry (PBE, the Alexandria database).

Unit cell a=5.4028 b=5.4028 c=5.4028 alpha=60.00 beta=60.00 gamma=60.00
Element x y z (fractional)
1 Al 0.3759 0.8723 0.3759
2 Al 0.8723 0.3759 0.3759
3 Pb 0.0000 0.0000 0.0000
4 Ni 0.7500 0.7500 0.7500
5 Al 0.3759 0.3759 0.3759
6 Al 0.3759 0.3759 0.8723

Properties
The total energy is -3.76 eV per atom. As for the space group: F-43m. The calculated density comes out at 5.566 g/cm³. The calculation puts the total magnetization at 0.000 μB/atom.



4.
# Tb2PmPd3

Crystalline Tb2PmPd3 at its relaxed geometry (PBE, the Alexandria database).

Unit cell a=3.5444 b=3.5444 c=10.6709 alpha=90.00 beta=90.00 gamma=90.00
Element x y z (fractional)
1 Pd 0.0000 0.0000 0.6765
2 Tb 0.5000 0.5000 0.8360
3 Pd 0.0000 0.0000 0.3235
4 Pd 0.0000 0.0000 0.0000
5 Pm 0.5000 0.5000 0.5000
6 Tb 0.5000 0.5000 0.1640

Properties
The total energy is -5.76 eV per atom. As for the space group: P4/mmm. The calculated density comes out at 9.688 g/cm³. The calculation puts the total magnetization at 0.000 μB/atom.



5.
# SiPb2Au

Crystalline SiPb2Au at its relaxed geometry (PBE, the Alexandria database).

Unit cell a=6.6638 b=6.6638 c=7.5390 alpha=63.77 beta=63.77 gamma=90.00
Element x y z (fractional)
1 Pb 0.6128 0.1250 0.2500
2 Pb 0.1372 0.6250 0.2500
3 Au 0.7500 0.2500 0.5000
4 Pb 0.3750 0.3872 0.7500
5 Au 0.0000 0.0000 0.0000
6 Si 0.5000 0.5000 0.0000
7 Si 0.2500 0.7500 0.5000
8 Pb 0.8750 0.8628 0.7500

Properties
As for the space group: I-42d. The calculated density comes out at 8.126 g/cm³. The calculation puts the uncorrected formation energy at 0.3687 eV/atom. The calculation puts the total magnetization at 0.000 μB/atom.



6.
# YAgI2O

Crystalline YAgI2O at its relaxed geometry (PBE, the Alexandria database).

Unit cell a=5.7359 b=5.7359 c=4.0493 alpha=90.00 beta=90.00 gamma=90.00
Each line ends with the local moment (μB).
Element x y z (fractional)
1 O 0.0000 0.0000 0.5000  -0.03
2 I 0.0000 0.5000 0.0000  0.00
3 Y 0.5000 0.5000 0.5000  0.12
4 Ag 0.0000 0.0000 0.0000  0.00
5 I 0.5000 0.0000 0.0000  0.00

Properties
As for the space group: P4/mmm. The calculated density comes out at 5.816 g/cm³. The calculation puts the uncorrected formation energy at -0.2352 eV/atom. The calculation puts the total magnetization at 0.036 μB/atom.



Copy entry 6 word for word.
# YAgI2O

Crystalline YAgI2O at its relaxed geometry (PBE, the Alexandria database).

Unit cell a=5.7359 b=5.7359 c=4.0493 alpha=90.00 beta=90.00 gamma=90.00
Each line ends with the local moment (μB).
Element x y z (fractional)
1 O 0.0000 0.0000 0.5000  -0.03
2 I 0.0000 0.5000 0.0000  0.00
3 Y 0.5000 0.5000 0.5000  0.12
4 Ag 0.0000 0.0000 0.0000  0.00
5 I 0.5000 0.0000 0.0000  0.00

Properties
As for the space group: P4/mmm. The calculated density comes out at 5.816 g/cm³. The calculation puts the uncorrected formation energy at -0.2352 eV/atom. The calculation puts the total magnetization at 0.036 μB/atom.



> The lowest calculated density belongs to which entry?

Al4NiPb